i) Mg2BeHg | PBE | optimized geometry

Cell and atoms, written as CIF:
```
data_Mg2BeHg
_chemical_formula_sum 'Mg2 Be1 Hg1'
_symmetry_space_group_name_H-M 'P 1'
_symmetry_Int_Tables_number 1
_symmetry_space_group_name_Hall 'P 1'
_cell_length_a 4.319
_cell_length_b 3.256
_cell_length_c 5.483
_cell_angle_alpha 73.15
_cell_angle_beta 90.00
_cell_angle_gamma 90.00
loop_
_atom_site_label
_atom_site_type_symbol
_atom_site_fract_x
_atom_site_fract_y
_atom_site_fract_z
_atom_site_occupancy
Be1 Be 0.000 0.694 0.491 1
Mg1 Mg 0.000 0.957 0.962 1
Mg2 Mg 0.500 0.285 0.299 1
Hg1 Hg 0.500 0.564 0.747 1
```

=====

ii) Mg2BeHg | PBE | optimized geometry

Cell and atoms, written as CIF:
```
data_Mg2BeHg
_chemical_formula_sum 'Mg4 Be2 Hg2'
_symmetry_space_group_name_H-M 'P 1'
_symmetry_Int_Tables_number 1
_symmetry_space_group_name_Hall 'P 1'
_cell_length_a 4.175
_cell_length_b 4.175
_cell_length_c 9.883
_cell_angle_alpha 77.81
_cell_angle_beta 77.81
_cell_angle_gamma 90.00
loop_
_atom_site_label
_atom_site_type_symbol
_atom_site_fract_x
_atom_site_fract_y
_atom_site_fract_z
_atom_site_occupancy
Be1 Be 0.500 0.500 0.000 1
Be2 Be 0.250 0.750 0.500 1
Mg1 Mg 0.610 0.125 0.250 1
Mg2 Mg 0.140 0.625 0.250 1
Mg3 Mg 0.375 0.390 0.750 1
Mg4 Mg 0.875 0.860 0.750 1
Hg1 Hg 0.000 0.000 0.000 1
Hg2 Hg 0.750 0.250 0.500 1
```

=====

Of them, ii) has the lowest stability.

=====

i) MgBe3Hg | PBE | optimized geometry

Cell and atoms, written as CIF:
```
data_MgBe3Hg
_chemical_formula_sum 'Mg1 Be3 Hg1'
_symmetry_space_group_name_H-M 'P 1'
_symmetry_Int_Tables_number 1
_symmetry_space_group_name_Hall 'P 1'
_cell_length_a 4.566
_cell_length_b 4.566
_cell_length_c 4.566
_cell_angle_alpha 90.00
_cell_angle_beta 90.00
_cell_angle_gamma 90.00
loop_
_atom_site_label
_atom_site_type_symbol
_atom_site_fract_x
_atom_site_fract_y
_atom_site_fract_z
_atom_site_occupancy
Be1 Be 0.000 0.500 0.000 1
Be2 Be 0.000 0.000 0.500 1
Be3 Be 0.500 0.000 0.000 1
Mg1 Mg 0.000 0.000 0.000 1
Hg1 Hg 0.500 0.500 0.500 1
```

=====

ii) MgBe3Hg | PBE | optimized geometry

Cell and atoms, written as CIF:
```
data_MgBe3Hg
_chemical_formula_sum 'Mg1 Be3 Hg1'
_symmetry_space_group_name_H-M 'P 1'
_symmetry_Int_Tables_number 1
_symmetry_space_group_name_Hall 'P 1'
_cell_length_a 4.480
_cell_length_b 4.480
_cell_length_c 4.480
_cell_angle_alpha 90.00
_cell_angle_beta 90.00
_cell_angle_gamma 90.00
loop_
_atom_site_label
_atom_site_type_symbol
_atom_site_fract_x
_atom_site_fract_y
_atom_site_fract_z
_atom_site_occupancy
Be1 Be 0.000 0.500 0.000 1
Be2 Be 0.000 0.000 0.500 1
Be3 Be 0.500 0.000 0.000 1
Mg1 Mg 0.500 0.500 0.500 1
Hg1 Hg 0.000 0.000 0.000 1
```

=====

Of them, i) has the lowest stability.

=====

i) Mg3BeHg | PBE | optimized geometry

Cell and atoms, written as CIF:
```
data_Mg3BeHg
_chemical_formula_sum 'Mg3 Be1 Hg1'
_symmetry_space_group_name_H-M 'P 1'
_symmetry_Int_Tables_number 1
_symmetry_space_group_name_Hall 'P 1'
_cell_length_a 5.204
_cell_length_b 5.204
_cell_length_c 5.204
_cell_angle_alpha 90.00
_cell_angle_beta 90.00
_cell_angle_gamma 90.00
loop_
_atom_site_label
_atom_site_type_symbol
_atom_site_fract_x
_atom_site_fract_y
_atom_site_fract_z
_atom_site_occupancy
Be1 Be 0.500 0.500 0.500 1
Mg1 Mg 0.000 0.500 0.000 1
Mg2 Mg 0.000 0.000 0.500 1
Mg3 Mg 0.500 0.000 0.000 1
Hg1 Hg 0.000 0.000 0.000 1
```

=====

ii) Mg3BeHg | PBE | optimized geometry

Cell and atoms, written as CIF:
```
data_Mg3BeHg
_chemical_formula_sum 'Mg3 Be1 Hg1'
_symmetry_space_group_name_H-M 'P 1'
_symmetry_Int_Tables_number 1
_symmetry_space_group_name_Hall 'P 1'
_cell_length_a 4.822
_cell_length_b 4.822
_cell_length_c 4.822
_cell_angle_alpha 90.00
_cell_angle_beta 90.00
_cell_angle_gamma 90.00
loop_
_atom_site_label
_atom_site_type_symbol
_atom_site_fract_x
_atom_site_fract_y
_atom_site_fract_z
_atom_site_occupancy
Be1 Be 0.000 0.000 0.000 1
Mg1 Mg 0.000 0.500 0.000 1
Mg2 Mg 0.000 0.000 0.500 1
Mg3 Mg 0.500 0.000 0.000 1
Hg1 Hg 0.500 0.500 0.500 1
```

=====

Of them, i) has the lowest stability.

=====

i) Mg2BeHg2 | PBE | optimized geometry

Cell and atoms, written as CIF:
```
data_Mg2BeHg2
_chemical_formula_sum 'Mg4 Be2 Hg4'
_symmetry_space_group_name_H-M 'P 1'
_symmetry_Int_Tables_number 1
_symmetry_space_group_name_Hall 'P 1'
_cell_length_a 6.717
_cell_length_b 6.717
_cell_length_c 4.440
_cell_angle_alpha 90.00
_cell_angle_beta 90.00
_cell_angle_gamma 90.00
loop_
_atom_site_label
_atom_site_type_symbol
_atom_site_fract_x
_atom_site_fract_y
_atom_site_fract_z
_atom_site_occupancy
Be1 Be 0.000 0.000 0.000 1
Be2 Be 0.500 0.500 0.000 1
Mg1 Mg 0.161 0.661 0.500 1
Mg2 Mg 0.661 0.839 0.500 1
Mg3 Mg 0.839 0.339 0.500 1
Mg4 Mg 0.339 0.161 0.500 1
Hg1 Hg 0.340 0.840 0.000 1
Hg2 Hg 0.840 0.660 0.000 1
Hg3 Hg 0.660 0.160 0.000 1
Hg4 Hg 0.160 0.340 0.000 1
```

=====

ii) Mg2BeHg2 | PBE | optimized geometry

Cell and atoms, written as CIF:
```
data_Mg2BeHg2
_chemical_formula_sum 'Mg2 Be1 Hg2'
_symmetry_space_group_name_H-M 'P 1'
_symmetry_Int_Tables_number 1
_symmetry_space_group_name_Hall 'P 1'
_cell_length_a 4.026
_cell_length_b 4.026
_cell_length_c 7.867
_cell_angle_alpha 75.17
_cell_angle_beta 75.17
_cell_angle_gamma 90.00
loop_
_atom_site_label
_atom_site_type_symbol
_atom_site_fract_x
_atom_site_fract_y
_atom_site_fract_z
_atom_site_occupancy
Be1 Be 0.000 0.000 0.000 1
Mg1 Mg 0.405 0.405 0.191 1
Mg2 Mg 0.595 0.595 0.809 1
Hg1 Hg 0.750 0.250 0.500 1
Hg2 Hg 0.250 0.750 0.500 1
```

=====

Of them, ii) has the lowest stability.

=====

i) MgBeHg3 | PBE | optimized geometry

Cell and atoms, written as CIF:
```
data_MgBeHg3
_chemical_formula_sum 'Mg1 Be1 Hg3'
_symmetry_space_group_name_H-M 'P 1'
_symmetry_Int_Tables_number 1
_symmetry_space_group_name_Hall 'P 1'
_cell_length_a 5.447
_cell_length_b 5.447
_cell_length_c 5.447
_cell_angle_alpha 90.00
_cell_angle_beta 90.00
_cell_angle_gamma 90.00
loop_
_atom_site_label
_atom_site_type_symbol
_atom_site_fract_x
_atom_site_fract_y
_atom_site_fract_z
_atom_site_occupancy
Be1 Be 0.500 0.500 0.500 1
Mg1 Mg 0.000 0.000 0.000 1
Hg1 Hg 0.000 0.500 0.000 1
Hg2 Hg 0.000 0.000 0.500 1
Hg3 Hg 0.500 0.000 0.000 1
```

=====

ii) MgBeHg3 | PBE | optimized geometry

Cell and atoms, written as CIF:
```
data_MgBeHg3
_chemical_formula_sum 'Mg1 Be1 Hg3'
_symmetry_space_group_name_H-M 'P 1'
_symmetry_Int_Tables_number 1
_symmetry_space_group_name_Hall 'P 1'
_cell_length_a 4.824
_cell_length_b 4.824
_cell_length_c 4.824
_cell_angle_alpha 90.00
_cell_angle_beta 90.00
_cell_angle_gamma 90.00
loop_
_atom_site_label
_atom_site_type_symbol
_atom_site_fract_x
_atom_site_fract_y
_atom_site_fract_z
_atom_site_occupancy
Be1 Be 0.000 0.000 0.000 1
Mg1 Mg 0.500 0.500 0.500 1
Hg1 Hg 0.000 0.500 0.000 1
Hg2 Hg 0.000 0.000 0.500 1
Hg3 Hg 0.500 0.000 0.000 1
```

=====

Of them, i) has the lowest stability.

=====

i) MnBeHg | PBE | optimized geometry

Cell and atoms, written as CIF:
```
data_MnBeHg
_chemical_formula_sum 'Mn1 Be1 Hg1'
_symmetry_space_group_name_H-M 'P 1'
_symmetry_Int_Tables_number 1
_symmetry_space_group_name_Hall 'P 1'
_cell_length_a 5.652
_cell_length_b 5.651
_cell_length_c 2.854
_cell_angle_alpha 75.38
_cell_angle_beta 75.37
_cell_angle_gamma 29.25
loop_
_atom_site_label
_atom_site_type_symbol
_atom_site_fract_x
_atom_site_fract_y
_atom_site_fract_z
_atom_site_occupancy
Be1 Be 0.018 0.018 0.982 1
Mn1 Mn 0.640 0.640 0.360 1
Hg1 Hg 0.342 0.342 0.658 1
```

=====

ii) MnBeHg | PBE | optimized geometry

Cell and atoms, written as CIF:
```
data_MnBeHg
_chemical_formula_sum 'Mn1 Be1 Hg1'
_symmetry_space_group_name_H-M 'P 1'
_symmetry_Int_Tables_number 1
_symmetry_space_group_name_Hall 'P 1'
_cell_length_a 3.013
_cell_length_b 3.013
_cell_length_c 5.983
_cell_angle_alpha 90.00
_cell_angle_beta 90.00
_cell_angle_gamma 120.00
loop_
_atom_site_label
_atom_site_type_symbol
_atom_site_fract_x
_atom_site_fract_y
_atom_site_fract_z
_atom_site_occupancy
Be1 Be 0.000 0.000 0.982 1
Mn1 Mn 0.333 0.667 0.703 1
Hg1 Hg 0.667 0.333 0.315 1
```

=====

iii) MnBeHg | PBE | optimized geometry

Cell and atoms, written as CIF:
```
data_MnBeHg
_chemical_formula_sum 'Mn1 Be1 Hg1'
_symmetry_space_group_name_H-M 'P 1'
_symmetry_Int_Tables_number 1
_symmetry_space_group_name_Hall 'P 1'
_cell_length_a 4.049
_cell_length_b 4.049
_cell_length_c 4.049
_cell_angle_alpha 60.00
_cell_angle_beta 60.00
_cell_angle_gamma 60.00
loop_
_atom_site_label
_atom_site_type_symbol
_atom_site_fract_x
_atom_site_fract_y
_atom_site_fract_z
_atom_site_occupancy
Be1 Be 0.750 0.750 0.750 1
Mn1 Mn 0.500 0.500 0.500 1
Hg1 Hg 0.000 0.000 0.000 1
```

=====

Of them, ii) has the lowest stability.